[1]
Nd2HoCdC (PBE-GGA, optimized geometry); SG = P4/mmm; total DFT energy (no corrections) = -5.055 eV/atom
1.0
-2.419 3.215 -2.681
0.907 -2.847 -4.232
-4.393 -2.620 0.821
Nd Ho Cd C
2 1 1 1
Direct
0.000 0.000 0.500
0.000 0.500 0.000
0.500 0.000 0.000
0.500 0.500 0.500
0.000 0.000 0.000



[2]
NdHo2CdC (PBE-GGA, optimized geometry); SG = P4/mmm; total DFT energy (no corrections) = -5.071 eV/atom
1.0
5.195 0.000 0.000
0.000 4.885 0.000
0.000 0.000 4.885
Nd Ho Cd C
1 2 1 1
Direct
0.500 0.000 0.000
0.000 0.000 0.500
0.000 0.500 0.000
0.500 0.500 0.500
0.000 0.000 0.000



[3]
Ho2CdOsC (PBE-GGA, optimized geometry); SG = P4/mmm; total DFT energy (no corrections) = -6.506 eV/atom
1.0
3.933 0.000 0.000
0.000 4.990 0.000
0.000 0.000 4.990
Ho Cd Os C
2 1 1 1
Direct
0.000 0.000 0.500
0.000 0.500 0.000
0.500 0.500 0.500
0.500 0.000 0.000
0.000 0.000 0.000



[4]
PmHo2CdC (PBE-GGA, optimized geometry); SG = P4/mmm; total DFT energy (no corrections) = -5.081 eV/atom
1.0
5.151 0.000 0.000
0.000 4.882 0.000
0.000 0.000 4.882
Pm Ho Cd C
1 2 1 1
Direct
0.500 0.000 0.000
0.000 0.000 0.500
0.000 0.500 0.000
0.500 0.500 0.500
0.000 0.000 0.000



[5]
PrHo2CdC (PBE-GGA, optimized geometry); SG = P4/mmm; total DFT energy (no corrections) = -5.060 eV/atom
1.0
5.238 0.000 0.000
0.000 4.889 0.000
0.000 0.000 4.889
Pr Ho Cd C
1 2 1 1
Direct
0.500 0.000 0.000
0.000 0.000 0.500
0.000 0.500 0.000
0.500 0.500 0.500
0.000 0.000 0.000



[6]
Ho2ScCdC (PBE-GGA, optimized geometry); SG = P4/mmm; total DFT energy (no corrections) = -5.507 eV/atom
1.0
4.473 0.000 0.000
0.000 4.964 0.000
0.000 0.000 4.964
Ho Sc Cd C
2 1 1 1
Direct
0.000 0.000 0.500
0.000 0.500 0.000
0.500 0.000 0.000
0.500 0.500 0.500
0.000 0.000 0.000



[7]
HoSc2CdC (PBE-GGA, optimized geometry); SG = P4/mmm; total DFT energy (no corrections) = -5.891 eV/atom
1.0
-2.684 3.224 2.607
-3.628 -2.749 -0.336
1.232 -2.097 3.862
Ho Sc Cd C
1 2 1 1
Direct
0.500 0.000 0.000
0.000 0.000 0.500
0.000 0.500 0.000
0.500 0.500 0.500
0.000 0.000 0.000



[8]
SmHo2CdC (PBE-GGA, optimized geometry); SG = P4/mmm; total DFT energy (no corrections) = -5.083 eV/atom
1.0
5.118 0.000 0.000
0.000 4.880 0.000
0.000 0.000 4.880
Sm Ho Cd C
1 2 1 1
Direct
0.500 0.000 0.000
0.000 0.000 0.500
0.000 0.500 0.000
0.500 0.500 0.500
0.000 0.000 0.000



[9]
TbHo2CdC (PBE-GGA, optimized geometry); SG = P4/mmm; total DFT energy (no corrections) = -5.092 eV/atom
1.0
-1.550 -0.616 -4.705
-3.594 -2.917 1.566
-2.943 3.874 0.462
Tb Ho Cd C
1 2 1 1
Direct
0.500 0.000 0.000
0.000 0.000 0.500
0.000 0.500 0.000
0.500 0.500 0.500
0.000 0.000 0.000



[10]
HoThCdC (PBE-GGA, optimized geometry); SG = R3m; total DFT energy (no corrections) = -5.808 eV/atom
1.0
-2.441 -1.924 1.798
3.499 -0.593 0.535
0.489 7.208 4.787
Ho Th Cd C
1 1 1 1
Direct
0.524 0.160 0.699
0.079 0.937 0.032
0.978 0.387 0.381
0.296 0.546 0.858



[11]
HoTm2CdC (PBE-GGA, optimized geometry); SG = P4/mmm; total DFT energy (no corrections) = -5.074 eV/atom
1.0
4.932 0.000 0.000
0.000 4.835 0.000
0.000 0.000 4.835
Ho Tm Cd C
1 2 1 1
Direct
0.500 0.000 0.000
0.000 0.000 0.500
0.000 0.500 0.000
0.500 0.500 0.500
0.000 0.000 0.000



[12]
Y2HoCdC (PBE-GGA, optimized geometry); SG = P4/mmm; total DFT energy (no corrections) = -5.857 eV/atom
1.0
4.898 0.000 0.000
0.000 4.949 0.000
0.000 0.000 4.949
Y Ho Cd C
2 1 1 1
Direct
0.000 0.000 0.500
0.000 0.500 0.000
0.500 0.000 0.000
0.500 0.500 0.500
0.000 0.000 0.000



[13]
CdC2I (PBE-GGA, optimized geometry); SG = I-42d; formation energy (no corrections) = 2.1759 eV/atom
1.0
5.212 0.000 0.000
0.000 5.212 0.000
2.606 2.606 5.456
I C Cd
2 4 2
Direct
0.000 0.000 0.000
0.750 0.250 0.500
0.639 0.125 0.250
0.111 0.625 0.250
0.375 0.361 0.750
0.875 0.889 0.750
0.500 0.500 0.000
0.250 0.750 0.500



[14]
CdCI2 (PBE-GGA, optimized geometry); SG = Fm-3m; formation energy (no corrections) = 1.6060 eV/atom
1.0
4.543 -1.484 -2.313
1.583 -5.061 0.262
-0.106 -3.043 -4.350
I C Cd
2 1 1
Direct
0.250 0.250 0.250
0.750 0.750 0.750
0.000 0.000 0.000
0.500 0.500 0.500



[15]
CdCI2 (PBE-GGA, optimized geometry); SG = I-42d; formation energy (no corrections) = 1.1008 eV/atom
1.0
7.566 0.000 0.000
0.000 7.566 0.000
3.783 3.783 5.368
I C Cd
4 2 2
Direct
0.377 0.125 0.250
0.373 0.625 0.250
0.375 0.623 0.750
0.875 0.627 0.750
0.500 0.500 0.000
0.250 0.750 0.500
0.000 0.000 0.000
0.750 0.250 0.500



[16]
CdC2I (PBE-GGA, optimized geometry); SG = Fm-3m; formation energy (no corrections) = 2.7576 eV/atom
1.0
0.000 3.157 3.157
3.157 0.000 3.157
3.157 3.157 0.000
I C Cd
1 2 1
Direct
0.500 0.500 0.500
0.250 0.250 0.250
0.750 0.750 0.750
0.000 0.000 0.000



[17]
CdCI3 (PBE-GGA, optimized geometry); SG = Pm-3m; formation energy (no corrections) = 1.4012 eV/atom
1.0
-2.105 -4.841 2.630
3.017 -3.368 -3.786
4.610 -0.006 3.678
I C Cd
3 1 1
Direct
0.000 0.500 0.000
0.000 0.000 0.500
0.500 0.000 0.000
0.500 0.500 0.500
0.000 0.000 0.000



[18]
CdCI3 (PBE-GGA, optimized geometry); SG = Pm-3m; formation energy (no corrections) = 0.9701 eV/atom
1.0
5.167 0.000 0.000
0.000 5.167 0.000
0.000 0.000 5.167
I C Cd
3 1 1
Direct
0.000 0.500 0.000
0.000 0.000 0.500
0.500 0.000 0.000
0.000 0.000 0.000
0.500 0.500 0.500



[19]
LaCdC2I (PBE-GGA, optimized geometry); SG = P4/mmm; formation energy (no corrections) = 2.1343 eV/atom
1.0
-2.575 2.070 3.211
1.622 -4.095 3.941
3.605 2.598 1.216
I C Cd La
1 2 1 1
Direct
0.000 0.000 0.000
0.000 0.000 0.500
0.500 0.000 0.000
0.500 0.500 0.500
0.000 0.500 0.000



[20]
La2CdCI (PBE-GGA, optimized geometry); SG = P4/mmm; formation energy (no corrections) = 0.8171 eV/atom
1.0
-2.720 -3.909 -3.674
3.644 -2.277 -0.275
-1.693 -3.283 4.747
I C Cd La
1 1 1 2
Direct
0.000 0.000 0.000
0.000 0.500 0.000
0.500 0.500 0.500
0.000 0.000 0.500
0.500 0.000 0.000